Record 1
# CsTl2I3 (PBE, optimized geometry)
# - ΔE to the lowest computed polymorph: 7.3 kJ/mol of atoms
# - Uncorrected energy: -60.80 eV/cell
# - E_form (uncorrected): -0.827 eV/atom
data_CsTl2I3
_symmetry_space_group_name_H-M 'C m c m'
_symmetry_Int_Tables_number 63
_symmetry_space_group_name_Hall '-C 2c 2'
_cell_length_a 13.568
_cell_length_b 14.611
_cell_length_c 7.337
_cell_angle_alpha 90.00
_cell_angle_beta 90.00
_cell_angle_gamma 90.00
loop_
_atom_site_label
_atom_site_type_symbol
_atom_site_fract_x
_atom_site_fract_y
_atom_site_fract_z
_atom_site_occupancy
Cs1 Cs 0.000 0.123 0.250 1
Tl1 Tl 0.164 0.500 0.000 1
I1 I 0.000 0.366 0.750 1
I2 I 0.162 0.101 0.750 1

---

Record 2
# CsTl4I5 (PBE, optimized geometry)
# - Uncorrected energy: -52.79 eV/cell
# - E_form (uncorrected): -0.832 eV/atom
data_CsTl4I5
_symmetry_space_group_name_H-M 'I m m m'
_symmetry_Int_Tables_number 71
_symmetry_space_group_name_Hall '-I 2 2'
_cell_length_a 5.110
_cell_length_b 7.280
_cell_length_c 25.605
_cell_angle_alpha 90.00
_cell_angle_beta 90.00
_cell_angle_gamma 90.00
loop_
_atom_site_label
_atom_site_type_symbol
_atom_site_fract_x
_atom_site_fract_y
_atom_site_fract_z
_atom_site_occupancy
Cs1 Cs 0.000 0.000 0.000 1
Tl1 Tl 0.000 0.000 0.205 1
Tl2 Tl 0.000 0.000 0.398 1
I1 I 0.000 0.500 0.000 1
I2 I 0.000 0.500 0.196 1
I3 I 0.000 0.500 0.388 1

---

Record 3
# CsTlI2 (PBE, optimized geometry)
# - ΔE to the lowest computed polymorph: 5.0 kJ/mol of atoms
# - Uncorrected energy: -42.01 eV/cell
# - E_form (uncorrected): -1.045 eV/atom
data_CsTlI2
_symmetry_space_group_name_H-M 'F m -3 m'
_symmetry_Int_Tables_number 225
_symmetry_space_group_name_Hall '-F 4 2 3'
_cell_length_a 8.937
_cell_length_b 8.937
_cell_length_c 8.937
_cell_angle_alpha 90.00
_cell_angle_beta 90.00
_cell_angle_gamma 90.00
loop_
_atom_site_label
_atom_site_type_symbol
_atom_site_fract_x
_atom_site_fract_y
_atom_site_fract_z
_atom_site_occupancy
Cs1 Cs 0.000 0.000 0.000 1
Tl1 Tl 0.000 0.000 0.500 1
I1 I 0.250 0.250 0.250 1

---

Record 4
# Cs2TlI7 (PBE, optimized geometry)
# - Uncorrected energy: -43.11 eV/cell
# - E_form (uncorrected): -0.663 eV/atom
data_Cs2TlI7
_symmetry_space_group_name_H-M 'I 4/m m m'
_symmetry_Int_Tables_number 139
_symmetry_space_group_name_Hall '-I 4 2'
_cell_length_a 8.803
_cell_length_b 8.803
_cell_length_c 13.179
_cell_angle_alpha 90.00
_cell_angle_beta 90.00
_cell_angle_gamma 90.00
loop_
_atom_site_label
_atom_site_type_symbol
_atom_site_fract_x
_atom_site_fract_y
_atom_site_fract_z
_atom_site_occupancy
Cs1 Cs 0.000 0.500 0.250 1
Tl1 Tl 0.000 0.000 0.000 1
I1 I 0.000 0.000 0.233 1
I2 I 0.000 0.000 0.500 1
I3 I 0.246 0.246 0.000 1

---

Record 5
# CsTl2I (PBE, optimized geometry)
# - ΔE to the lowest computed polymorph: 0.0 kJ/mol of atoms
# - Uncorrected energy: -35.70 eV/cell
# - E_form (uncorrected): -0.447 eV/atom
data_CsTl2I
_symmetry_space_group_name_H-M 'I -4 2 d'
_symmetry_Int_Tables_number 122
_symmetry_space_group_name_Hall 'I -4 2bw'
_cell_length_a 5.469
_cell_length_b 5.469
_cell_length_c 26.236
_cell_angle_alpha 90.00
_cell_angle_beta 90.00
_cell_angle_gamma 90.00
loop_
_atom_site_label
_atom_site_type_symbol
_atom_site_fract_x
_atom_site_fract_y
_atom_site_fract_z
_atom_site_occupancy
Cs1 Cs 0.000 0.000 0.000 1
Tl1 Tl 0.132 0.250 0.625 1
I1 I 0.000 0.000 0.500 1

---

Record 6
# CsTl3I9 (PBE, optimized geometry)
# - Uncorrected energy: -111.22 eV/cell
# - E_form (uncorrected): -0.454 eV/atom
data_CsTl3I9
_symmetry_space_group_name_H-M 'C 1 c 1'
_symmetry_Int_Tables_number 9
_symmetry_space_group_name_Hall 'C -2yc'
_cell_length_a 21.275
_cell_length_b 12.195
_cell_length_c 14.964
_cell_angle_alpha 90.00
_cell_angle_beta 131.32
_cell_angle_gamma 90.00
loop_
_atom_site_label
_atom_site_type_symbol
_atom_site_fract_x
_atom_site_fract_y
_atom_site_fract_z
_atom_site_occupancy
Cs1 Cs 0.000 0.217 0.000 1
Tl1 Tl 0.009 0.414 0.677 1
Tl2 Tl 0.161 0.123 0.669 1
Tl3 Tl 0.257 0.469 0.586 1
I1 I 0.001 0.452 0.486 1
I2 I 0.038 0.087 0.421 1
I3 I 0.090 0.387 0.319 1
I4 I 0.139 0.242 0.824 1
I5 I 0.219 0.079 0.301 1
I6 I 0.244 0.325 0.188 1
I7 I 0.303 0.249 0.735 1
I8 I 0.381 0.162 0.168 1
I9 I 0.418 0.465 0.626 1

---

Record 7
# CsTl6I8 (PBE, optimized geometry)
# - ΔE to the lowest computed polymorph: 0.0 kJ/mol of atoms
# - Uncorrected energy: -37.78 eV/cell
# - E_form (uncorrected): -0.688 eV/atom
data_CsTl6I8
_symmetry_space_group_name_H-M 'P -3'
_symmetry_Int_Tables_number 147
_symmetry_space_group_name_Hall '-P 3'
_cell_length_a 12.4525
_cell_length_b 12.4525
_cell_length_c 5.1781
_cell_angle_alpha 90.00
_cell_angle_beta 90.00
_cell_angle_gamma 120.00
loop_
_atom_site_label
_atom_site_type_symbol
_atom_site_fract_x
_atom_site_fract_y
_atom_site_fract_z
_atom_site_occupancy
Cs1 Cs 0.0000 0.0000 0.0000 1
Tl1 Tl 0.1337 0.4761 0.7543 1
I1 I 0.0313 0.7105 0.7464 1
I2 I 0.3333 0.6667 0.2536 1

---

Record 8
# CsTlI2 (PBE, optimized geometry)
# - ΔE to the lowest computed polymorph: 1.2 kJ/mol of atoms
# - Uncorrected energy: -42.64 eV/cell
# - E_form (uncorrected): -1.085 eV/atom
data_CsTlI2
_symmetry_space_group_name_H-M 'P 1 21/c 1'
_symmetry_Int_Tables_number 14
_symmetry_space_group_name_Hall '-P 2ybc'
_cell_length_a 9.828
_cell_length_b 10.020
_cell_length_c 9.147
_cell_angle_alpha 90.00
_cell_angle_beta 108.05
_cell_angle_gamma 90.00
loop_
_atom_site_label
_atom_site_type_symbol
_atom_site_fract_x
_atom_site_fract_y
_atom_site_fract_z
_atom_site_occupancy
Cs1 Cs 0.200 0.066 0.307 1
Tl1 Tl 0.328 0.633 0.364 1
I1 I 0.080 0.741 0.032 1
I2 I 0.454 0.146 0.722 1

---

Record 9
# CsTl2I3 (PBE, optimized geometry)
# - ΔE to the lowest computed polymorph: 0.0 kJ/mol of atoms
# - Uncorrected energy: -62.61 eV/cell
# - E_form (uncorrected): -0.903 eV/atom
data_CsTl2I3
_symmetry_space_group_name_H-M 'C m c m'
_symmetry_Int_Tables_number 63
_symmetry_space_group_name_Hall '-C 2c 2'
_cell_length_a 5.689
_cell_length_b 17.493
_cell_length_c 11.934
_cell_angle_alpha 90.00
_cell_angle_beta 90.00
_cell_angle_gamma 90.00
loop_
_atom_site_label
_atom_site_type_symbol
_atom_site_fract_x
_atom_site_fract_y
_atom_site_fract_z
_atom_site_occupancy
Cs1 Cs 0.000 0.233 0.250 1
Tl1 Tl 0.000 0.000 0.000 1
Tl2 Tl 0.000 0.491 0.250 1
I1 I 0.000 0.112 0.750 1
I2 I 0.000 0.373 0.550 1

---

Record 10
# CsTlI2 (PBE, optimized geometry)
# - ΔE to the lowest computed polymorph: 0.0 kJ/mol of atoms
# - Uncorrected energy: -32.12 eV/cell
# - E_form (uncorrected): -1.097 eV/atom
data_CsTlI2
_symmetry_space_group_name_H-M 'R -3 m'
_symmetry_Int_Tables_number 166
_symmetry_space_group_name_Hall '-R 3 2"'
_cell_length_a 5.2752
_cell_length_b 5.2752
_cell_length_c 25.9189
_cell_angle_alpha 90.00
_cell_angle_beta 90.00
_cell_angle_gamma 120.00
loop_
_atom_site_label
_atom_site_type_symbol
_atom_site_fract_x
_atom_site_fract_y
_atom_site_fract_z
_atom_site_occupancy
Cs1 Cs 0.0000 0.0000 0.0000 1
Tl1 Tl 0.0000 0.0000 0.5000 1
I1 I 0.0000 0.0000 0.2416 1

---

Record 11
# CsTlI2 (PBE, optimized geometry)
# - ΔE to the lowest computed polymorph: 1.3 kJ/mol of atoms
# - Uncorrected energy: -31.96 eV/cell
# - E_form (uncorrected): -1.083 eV/atom
data_CsTlI2
_symmetry_space_group_name_H-M 'R 3 m'
_symmetry_Int_Tables_number 160
_symmetry_space_group_name_Hall 'R 3 -2"'
_cell_length_a 5.1732
_cell_length_b 5.1732
_cell_length_c 26.8759
_cell_angle_alpha 90.00
_cell_angle_beta 90.00
_cell_angle_gamma 120.00
loop_
_atom_site_label
_atom_site_type_symbol
_atom_site_fract_x
_atom_site_fract_y
_atom_site_fract_z
_atom_site_occupancy
Cs1 Cs 0.0000 0.0000 0.0000 1
Tl1 Tl 0.0000 0.0000 0.8319 1
I1 I 0.0000 0.0000 0.2409 1
I2 I 0.0000 0.0000 0.4242 1

---

Record 12
# CsTl2I (PBE, optimized geometry)
# - ΔE to the lowest computed polymorph: 26.6 kJ/mol of atoms
# - Uncorrected energy: -31.30 eV/cell
# - E_form (uncorrected): -0.172 eV/atom
data_CsTl2I
_symmetry_space_group_name_H-M 'F m -3 m'
_symmetry_Int_Tables_number 225
_symmetry_space_group_name_Hall '-F 4 2 3'
_cell_length_a 8.761
_cell_length_b 8.761
_cell_length_c 8.761
_cell_angle_alpha 90.00
_cell_angle_beta 90.00
_cell_angle_gamma 90.00
loop_
_atom_site_label
_atom_site_type_symbol
_atom_site_fract_x
_atom_site_fract_y
_atom_site_fract_z
_atom_site_occupancy
Cs1 Cs 0.000 0.000 0.000 1
Tl1 Tl 0.250 0.250 0.250 1
I1 I 0.000 0.000 0.500 1

---

Record 13
# Cs3TlI (PBE, optimized geometry)
# - ΔE to the lowest computed polymorph: 0.0 kJ/mol of atoms
# - Uncorrected energy: -8.68 eV/cell
# - E_form (uncorrected): -0.441 eV/atom
data_Cs3TlI
_symmetry_space_group_name_H-M 'P m -3 m'
_symmetry_Int_Tables_number 221
_symmetry_space_group_name_Hall '-P 4 2 3'
_cell_length_a 7.379
_cell_length_b 7.379
_cell_length_c 7.379
_cell_angle_alpha 90.00
_cell_angle_beta 90.00
_cell_angle_gamma 90.00
loop_
_atom_site_label
_atom_site_type_symbol
_atom_site_fract_x
_atom_site_fract_y
_atom_site_fract_z
_atom_site_occupancy
Cs1 Cs 0.000 0.000 0.500 1
Tl1 Tl 0.500 0.500 0.500 1
I1 I 0.000 0.000 0.000 1

---

Record 14
# Cs4TlI5 (PBE, optimized geometry)
# - Uncorrected energy: -54.42 eV/cell
# - E_form (uncorrected): -1.368 eV/atom
data_Cs4TlI5
_symmetry_space_group_name_H-M 'I 4'
_symmetry_Int_Tables_number 79
_symmetry_space_group_name_Hall 'I 4'
_cell_length_a 12.156
_cell_length_b 12.156
_cell_length_c 7.779
_cell_angle_alpha 90.00
_cell_angle_beta 90.00
_cell_angle_gamma 90.00
loop_
_atom_site_label
_atom_site_type_symbol
_atom_site_fract_x
_atom_site_fract_y
_atom_site_fract_z
_atom_site_occupancy
Cs1 Cs 0.097 0.701 0.000 1
Tl1 Tl 0.000 0.000 0.520 1
I1 I 0.000 0.000 0.958 1
I2 I 0.094 0.715 0.500 1

---

Record 15
# Cs2TlI2 (PBE, optimized geometry)
# - ΔE to the lowest computed polymorph: 0.0 kJ/mol of atoms
# - Uncorrected energy: -24.35 eV/cell
# - E_form (uncorrected): -1.000 eV/atom
data_Cs2TlI2
_symmetry_space_group_name_H-M 'P 4/m b m'
_symmetry_Int_Tables_number 127
_symmetry_space_group_name_Hall '-P 4 2ab'
_cell_length_a 9.988
_cell_length_b 9.988
_cell_length_c 5.147
_cell_angle_alpha 90.00
_cell_angle_beta 90.00
_cell_angle_gamma 90.00
loop_
_atom_site_label
_atom_site_type_symbol
_atom_site_fract_x
_atom_site_fract_y
_atom_site_fract_z
_atom_site_occupancy
Cs1 Cs 0.151 0.349 0.000 1
Tl1 Tl 0.000 0.000 0.500 1
I1 I 0.155 0.655 0.500 1

---

Record 16
# Cs3TlI6 (PBE, optimized geometry)
# - ΔE to the lowest computed polymorph: 0.0 kJ/mol of atoms
# - Uncorrected energy: -97.27 eV/cell
# - E_form (uncorrected): -1.009 eV/atom
data_Cs3TlI6
_symmetry_space_group_name_H-M 'C m c 21'
_symmetry_Int_Tables_number 36
_symmetry_space_group_name_Hall 'C 2c -2'
_cell_length_a 15.729
_cell_length_b 20.284
_cell_length_c 7.356
_cell_angle_alpha 90.00
_cell_angle_beta 90.00
_cell_angle_gamma 90.00
loop_
_atom_site_label
_atom_site_type_symbol
_atom_site_fract_x
_atom_site_fract_y
_atom_site_fract_z
_atom_site_occupancy
Cs1 Cs 0.000 0.072 0.000 1
Cs2 Cs 0.211 0.404 0.692 1
Tl1 Tl 0.000 0.312 0.141 1
I1 I 0.000 0.309 0.523 1
I2 I 0.000 0.444 0.004 1
I3 I 0.141 0.242 0.992 1
I4 I 0.176 0.067 0.655 1

---

Record 17
# Cs12Tl3I5 (PBE, optimized geometry)
# - Uncorrected energy: -307.47 eV/cell
# - E_form (uncorrected): -0.667 eV/atom
data_Cs12Tl3I5
_symmetry_space_group_name_H-M 'I a -3 d'
_symmetry_Int_Tables_number 230
_symmetry_space_group_name_Hall '-I 4bd 2c 3'
_cell_length_a 23.144
_cell_length_b 23.144
_cell_length_c 23.144
_cell_angle_alpha 90.00
_cell_angle_beta 90.00
_cell_angle_gamma 90.00
loop_
_atom_site_label
_atom_site_type_symbol
_atom_site_fract_x
_atom_site_fract_y
_atom_site_fract_z
_atom_site_occupancy
Cs1 Cs 0.018 0.068 0.654 1
Tl1 Tl 0.000 0.250 0.125 1
I1 I 0.000 0.000 0.000 1
I2 I 0.000 0.250 0.375 1

---

Record 18
# CsTmTlI6 (PBE, optimized geometry)
# - Uncorrected energy: -26.58 eV/cell
# - E_form (uncorrected): -1.066 eV/atom
data_CsTmTlI6
_symmetry_space_group_name_H-M 'P 3 1 2'
_symmetry_Int_Tables_number 149
_symmetry_space_group_name_Hall 'P 3 2'
_cell_length_a 8.2029
_cell_length_b 8.2029
_cell_length_c 8.3443
_cell_angle_alpha 90.00
_cell_angle_beta 90.00
_cell_angle_gamma 120.00
loop_
_atom_site_label
_atom_site_type_symbol
_atom_site_fract_x
_atom_site_fract_y
_atom_site_fract_z
_atom_site_occupancy
Cs1 Cs 0.0000 0.0000 0.0000 1
Tm1 Tm 0.3333 0.6667 0.5000 1
Tl1 Tl 0.6667 0.3333 0.5000 1
I1 I 0.0228 0.3959 0.7181 1

---

Respective total moment values: 0.000 0.000 0.000 0.000 0.000 0.000 0.000 0.000 0.000 0.000 0.000 0.000 1.145 0.000 0.000 0.000 7.852 0.000 μB/f.u..